# 1
DFT (PBE) results for crystalline LiAc2Tl8 at its relaxed geometry.

Summary:
Size of the total moment (μB/f.u.): 0.00
Raw total energy (Ry/atom): -0.2121
Energy relative to the elements (eV per atom): -0.244
SG: P4/mmm

Lattice parameters (Å, degrees): 5.0122 5.0122 13.0949 90.00 90.00 90.00
Fractional positions:
1 Li 0.0000 0.0000 0.0000
2 Ac 0.0000 0.0000 0.3088
3 Ac 0.0000 0.0000 0.6912
4 Tl 0.0000 0.5000 0.5000
5 Tl 0.5000 0.0000 0.5000
6 Tl 0.5000 0.5000 0.3082
7 Tl 0.5000 0.5000 0.6918
8 Tl 0.0000 0.5000 0.1225
9 Tl 0.5000 0.0000 0.1225
10 Tl 0.0000 0.5000 0.8775
11 Tl 0.5000 0.0000 0.8775

# 2
DFT (PBE) results for crystalline AcPa2GaN5 at its relaxed geometry.

Summary:
Size of the total moment (μB/f.u.): 0.14
Formation energy without anion corrections (kJ per mole of atoms): -122
Raw total energy (Ry/atom): -0.6460
SG: I4/mcm

Lattice parameters (Å, degrees): 6.6754 6.6754 7.4497 116.62 116.62 90.00
Last column: magnetic moment on the atom in μB.
Fractional positions:
1 Ac 0.2500 0.2500 0.5000  0.00
2 Ac 0.7500 0.7500 0.5000  0.00
3 Pa 0.1780 0.3220 0.0000  0.06
4 Pa 0.6780 0.1780 0.0000  0.06
5 Pa 0.3220 0.8220 0.0000  0.06
6 Pa 0.8220 0.6780 0.0000  0.06
7 Ga 0.2500 0.7500 0.5000  0.00
8 Ga 0.7500 0.2500 0.5000  0.00
9 N 0.9825 0.4825 0.2663  0.00
10 N 0.7162 0.2162 0.7337  0.00
11 N 0.0175 0.5175 0.7337  0.00
12 N 0.2162 0.0175 0.7337  0.00
13 N 0.5175 0.7162 0.7337  0.00
14 N 0.7838 0.9825 0.2663  0.00
15 N 0.4825 0.2838 0.2663  0.00
16 N 0.2838 0.7838 0.2663  0.00
17 N 0.5000 0.5000 0.0000  -0.01
18 N 0.0000 0.0000 0.0000  -0.01